# 1
# Zr3W5

Zr3W5 after structural relaxation (PBE-GGA, Alexandria).

a = 12.087 Å, b = 10.421 Å, c = 5.337 Å
α = 90.00°, β = 115.94°, γ = 90.00°
Space group Cc (No. 9)
Inequivalent atoms, fractional coordinates:
Zr1 0.000 0.003 0.000
Zr2 0.240 0.311 0.994
Zr3 0.369 0.194 0.618
W1 0.028 0.500 0.029
W2 0.113 0.238 0.365
W3 0.247 0.436 0.502
W4 0.279 0.055 0.027
W5 0.491 0.234 0.240

Size of the total moment   0.00 μB/cell
Energy above the lowest structure with this stoichiometry   0.226 eV per atom
Calculated formation energy   410 meV/atom
Total DFT energy (no corrections)   -10.89 eV/atom

# 2
# Zr5W4

Zr5W4 after structural relaxation (PBE-GGA, Alexandria).

a = 8.5208 Å, b = 8.5208 Å, c = 5.6259 Å
α = 90.00°, β = 90.00°, γ = 120.00°
Space group P6_3/mcm (No. 193)
Inequivalent atoms, fractional coordinates:
Zr1 0.0000 0.2981 0.2500
Zr2 0.3333 0.6667 0.0000
W1 0.0000 0.0000 0.0000
W2 0.0000 0.3590 0.7500

Size of the total moment   0.00 μB/cell
Energy above the lowest structure with this stoichiometry   0.196 eV per atom
Calculated formation energy   362 meV/atom
Total DFT energy (no corrections)   -10.14 eV/atom

# 3
# Zr2W3

Zr2W3 after structural relaxation (PBE-GGA, Alexandria).

a = 3.0722 Å, b = 3.0722 Å, c = 34.4697 Å
α = 90.00°, β = 90.00°, γ = 120.00°
Space group R-3m (No. 166, hexagonal axes)
Inequivalent atoms, fractional coordinates:
Zr1 0.0000 0.0000 0.0966
W1 0.0000 0.0000 0.3051
W2 0.0000 0.0000 0.5000

Size of the total moment   0.00 μB/cell
Energy above the lowest structure with this stoichiometry   0.091 eV per atom
Calculated formation energy   418 meV/atom
Total DFT energy (no corrections)   -10.77 eV/atom

# 4
# Y

Y after structural relaxation (PBE-GGA, Alexandria).

a = 3.6036 Å, b = 3.6036 Å, c = 34.4887 Å
α = 90.00°, β = 90.00°, γ = 120.00°
Space group R-3m (No. 166, hexagonal axes)
Inequivalent atoms, fractional coordinates:
Y1 0.0000 0.0000 0.1254
Y2 0.0000 0.0000 0.2913

Size of the total moment   0.00 μB/cell
Energy above the lowest structure with this stoichiometry   0.009 eV per atom
Calculated formation energy   9 meV/atom
Total DFT energy (no corrections)   -6.46 eV/atom

# 5
# Y

Y after structural relaxation (PBE-GGA, Alexandria).

a = 7.017 Å, b = 7.017 Å, c = 7.017 Å
α = 90.00°, β = 90.00°, γ = 90.00°
Space group Fd-3m (No. 227, origin choice 2)
Inequivalent atoms, fractional coordinates:
Y1 0.125 0.125 0.125

Size of the total moment   0.00 μB/cell
Energy above the lowest structure with this stoichiometry   1.974 eV per atom
Calculated formation energy   1974 meV/atom
Total DFT energy (no corrections)   -4.49 eV/atom

# 6
# Y

Y after structural relaxation (PBE-GGA, Alexandria).

a = 11.5628 Å, b = 11.5628 Å, c = 3.5494 Å
α = 90.00°, β = 90.00°, γ = 120.00°
Space group P6_3/m (No. 176)
Inequivalent atoms, fractional coordinates:
Y1 0.1017 0.7937 0.2500
Y2 0.1395 0.5452 0.7500

Size of the total moment   0.02 μB/cell
Energy above the lowest structure with this stoichiometry   0.201 eV per atom
Calculated formation energy   201 meV/atom
Total DFT energy (no corrections)   -6.26 eV/atom

# 7
# Y

Y after structural relaxation (PBE-GGA, Alexandria).

a = 6.200 Å, b = 6.200 Å, c = 3.400 Å
α = 90.00°, β = 90.00°, γ = 90.00°
Space group I4_1/amd (No. 141, origin choice 2)
Inequivalent atoms, fractional coordinates:
Y1 0.000 0.250 0.375

Size of the total moment   0.00 μB/cell
Energy above the lowest structure with this stoichiometry   0.453 eV per atom
Calculated formation energy   453 meV/atom
Total DFT energy (no corrections)   -6.01 eV/atom

# 8
# Y

Y after structural relaxation (PBE-GGA, Alexandria).

a = 12.524 Å, b = 12.524 Å, c = 3.415 Å
α = 90.00°, β = 90.00°, γ = 90.00°
Space group I4/m (No. 87)
Inequivalent atoms, fractional coordinates:
Y1 0.092 0.646 0.000
Y2 0.097 0.167 0.000

Size of the total moment   1.60 μB/cell
Energy above the lowest structure with this stoichiometry   0.288 eV per atom
Calculated formation energy   288 meV/atom
Total DFT energy (no corrections)   -6.18 eV/atom

What did the fourth record say?
# Y

Y after structural relaxation (PBE-GGA, Alexandria).

a = 3.6036 Å, b = 3.6036 Å, c = 34.4887 Å
α = 90.00°, β = 90.00°, γ = 120.00°
Space group R-3m (No. 166, hexagonal axes)
Inequivalent atoms, fractional coordinates:
Y1 0.0000 0.0000 0.1254
Y2 0.0000 0.0000 0.2913

Size of the total moment   0.00 μB/cell
Energy above the lowest structure with this stoichiometry   0.009 eV per atom
Calculated formation energy   9 meV/atom
Total DFT energy (no corrections)   -6.46 eV/atom

> Which value of energy above the lowest structure with this stoichiometry does entry 6 give?

0.201 eV per atom